<one>
# Tl3PtI

A relaxed structure of Tl3PtI (GGA-PBE, the Alexandria database).

Cell lengths 5.445, 5.445, 5.445 Å; angles 90.00, 90.00, 90.00 degrees
Fractional coordinates of all 5 atoms:
1 Tl 0.000 0.000 0.500
2 Tl 0.000 0.500 0.000
3 Tl 0.500 0.000 0.000
4 Pt 0.000 0.000 0.000
5 I 0.500 0.500 0.500

## Properties
Spin magnetization = 0.0 μB per formula unit
ρ = 9.62 Mg/m³
N(E_F) = 0.68 states/eV per cell


<two>
# Tl3PtI

A relaxed structure of Tl3PtI (GGA-PBE, the Alexandria database).

Cell lengths 5.566, 5.566, 11.300 Å; angles 90.00, 90.00, 120.00 degrees
Fractional coordinates of all 10 atoms:
1 Tl 0.000 0.000 0.250
2 Tl 0.000 0.000 0.750
3 Tl 0.333 0.667 0.041
4 Tl 0.333 0.667 0.459
5 Tl 0.667 0.333 0.541
6 Tl 0.667 0.333 0.959
7 Pt 0.000 0.000 0.000
8 Pt 0.000 0.000 0.500
9 I 0.333 0.667 0.750
10 I 0.667 0.333 0.250

## Properties
Spin magnetization = 0.0 μB per formula unit
ρ = 10.24 Mg/m³
N(E_F) = 2.85 states/eV per cell


<three>
# Tl3PtI

A relaxed structure of Tl3PtI (GGA-PBE, the Alexandria database).

Cell lengths 9.707, 9.707, 7.384 Å; angles 93.91, 93.91, 97.37 degrees
Fractional coordinates of all 20 atoms:
1 Tl 0.027 0.185 0.430
2 Tl 0.079 0.679 0.043
3 Tl 0.185 0.027 0.930
4 Tl 0.193 0.477 0.662
5 Tl 0.321 0.921 0.457
6 Tl 0.477 0.193 0.162
7 Tl 0.523 0.807 0.838
8 Tl 0.679 0.079 0.543
9 Tl 0.807 0.523 0.338
10 Tl 0.815 0.973 0.070
11 Tl 0.921 0.321 0.957
12 Tl 0.973 0.815 0.570
13 Pt 0.070 0.930 0.250
14 Pt 0.233 0.767 0.750
15 Pt 0.767 0.233 0.250
16 Pt 0.930 0.070 0.750
17 I 0.253 0.425 0.208
18 I 0.425 0.253 0.708
19 I 0.575 0.747 0.292
20 I 0.747 0.575 0.792

## Properties
Spin magnetization = 0.0 μB per formula unit
ρ = 9.05 Mg/m³
N(E_F) = 4.56 states/eV per cell


<four>
# Tl3PtI

A relaxed structure of Tl3PtI (GGA-PBE, the Alexandria database).

Cell lengths 13.930, 13.930, 5.672 Å; angles 90.00, 90.00, 151.20 degrees
Fractional coordinates of all 10 atoms:
1 Tl 0.000 0.000 0.000
2 Tl 0.000 0.000 0.500
3 Tl 0.011 0.436 0.250
4 Tl 0.436 0.011 0.750
5 Tl 0.564 0.989 0.250
6 Tl 0.989 0.564 0.750
7 Pt 0.214 0.786 0.250
8 Pt 0.786 0.214 0.750
9 I 0.113 0.887 0.250
10 I 0.887 0.113 0.750

## Properties
Spin magnetization = 0.0 μB per formula unit
ρ = 5.86 Mg/m³
N(E_F) = 5.78 states/eV per cell


The energetic minimum among the shown structures is <one>; the next structure lies 179 meV/atom above.